First-principles (PBE-GGA) data for a relaxed structure of PdPt2O, as listed in Alexandria.

Lattice parameters (Å, degrees): 4.858 4.858 7.117 70.05 70.05 90.00
Element x y z (fractional)
Pd: 0.750 0.250 0.500
Pd: 0.000 0.000 0.000
O: 0.500 0.500 0.000
O: 0.250 0.750 0.500
Pt: 0.296 0.625 0.250
Pt: 0.375 0.546 0.750
Pt: 0.454 0.125 0.250
Pt: 0.875 0.704 0.750

The total energy comes out at -5.127 eV per atom.